(1)
The following is a DFT calculation (PBE) of a geometry-optimized Tc2Hg2Pt structure.

Structure (CIF):
```
data_Tc2Hg2Pt
_chemical_formula_sum 'Tc4 Hg4 Pt2'
_space_group_name_H-M_alt 'I 4/m m m'
_space_group_IT_number 139
_space_group_name_Hall '-I 4 2'
_cell_length_a 3.847
_cell_length_b 3.847
_cell_length_c 13.335
_cell_angle_alpha 90.00
_cell_angle_beta 90.00
_cell_angle_gamma 90.00
loop_
_atom_site_label
_atom_site_type_symbol
_atom_site_fract_x
_atom_site_fract_y
_atom_site_fract_z
_atom_site_occupancy
Tc1 Tc 0.000 0.000 0.081 1
Hg1 Hg 0.000 0.500 0.250 1
Pt1 Pt 0.000 0.000 0.500 1
```

Summary:
ΔH_f (0 K): 0.90 eV/atom
V: 19.7 Å³ per atom
excess energy over the best structure of this formula in the dataset: 1.79 eV per formula unit
spin magnetization: 0.198 μB/atom
DFT total energy: -4.578 eV/atom

(2)
The following is a DFT calculation (PBE) of a geometry-optimized KLaY3 structure.

Structure (CIF):
```
data_KLaY3
_chemical_formula_sum 'K1 La1 Y3'
_space_group_name_H-M_alt 'P m -3 m'
_space_group_IT_number 221
_space_group_name_Hall '-P 4 2 3'
_cell_length_a 5.910
_cell_length_b 5.910
_cell_length_c 5.910
_cell_angle_alpha 90.00
_cell_angle_beta 90.00
_cell_angle_gamma 90.00
loop_
_atom_site_label
_atom_site_type_symbol
_atom_site_fract_x
_atom_site_fract_y
_atom_site_fract_z
_atom_site_occupancy
K1 K 0.000 0.000 0.000 1
La1 La 0.500 0.500 0.500 1
Y1 Y 0.000 0.500 0.500 1
```

Summary:
ΔH_f (0 K): 0.72 eV/atom
V: 41.3 Å³ per atom
excess energy over the best structure of this formula in the dataset: 0.00 eV per formula unit
spin magnetization: 0.000 μB/atom
DFT total energy: -4.360 eV/atom

(3)
The following is a DFT calculation (PBE) of a geometry-optimized CrCo2Pb structure.

Structure (CIF):
```
data_CrCo2Pb
_chemical_formula_sum 'Cr2 Co4 Pb2'
_space_group_name_H-M_alt 'I -4 m 2'
_space_group_IT_number 119
_space_group_name_Hall 'I -4 -2'
_cell_length_a 3.845
_cell_length_b 3.845
_cell_length_c 7.806
_cell_angle_alpha 90.00
_cell_angle_beta 90.00
_cell_angle_gamma 90.00
loop_
_atom_site_label
_atom_site_type_symbol
_atom_site_fract_x
_atom_site_fract_y
_atom_site_fract_z
_atom_site_occupancy
Cr1 Cr 0.000 0.000 0.000 1
Co1 Co 0.000 0.000 0.500 1
Co2 Co 0.000 0.500 0.750 1
Pb1 Pb 0.000 0.500 0.250 1
```

Summary:
ΔH_f (0 K): 0.49 eV/atom
V: 14.4 Å³ per atom
spin magnetization: 0.507 μB/atom
DFT total energy: -6.396 eV/atom

(4)
The following is a DFT calculation (PBE) of a geometry-optimized NaAl2CuCl8 structure.

Structure (CIF):
```
data_NaAl2CuCl8
_chemical_formula_sum 'Na1 Al2 Cu1 Cl8'
_space_group_name_H-M_alt 'P -3'
_space_group_IT_number 147
_space_group_name_Hall '-P 3'
_cell_length_a 6.4123
_cell_length_b 6.4123
_cell_length_c 8.8774
_cell_angle_alpha 90.00
_cell_angle_beta 90.00
_cell_angle_gamma 120.00
loop_
_atom_site_label
_atom_site_type_symbol
_atom_site_fract_x
_atom_site_fract_y
_atom_site_fract_z
_atom_site_occupancy
Na1 Na 0.0000 0.0000 0.0000 1
Al1 Al 0.3333 0.6667 0.7502 1
Cu1 Cu 0.0000 0.0000 0.5000 1
Cl1 Cl 0.0286 0.3284 0.6774 1
Cl2 Cl 0.3333 0.6667 0.9922 1
```

Summary:
V: 26.3 Å³ per atom
ΔE_f (raw): -1337 meV/atom
spin magnetization: 0.010 μB/atom
DFT total energy: -3.643 eV/atom

(5)
The following is a DFT calculation (PBE) of a geometry-optimized Fe2SnBiPt structure.

Structure (CIF):
```
data_Fe2SnBiPt
_chemical_formula_sum 'Fe2 Sn1 Bi1 Pt1'
_space_group_name_H-M_alt 'P 4/m m m'
_space_group_IT_number 123
_space_group_name_Hall '-P 4 2'
_cell_length_a 4.908
_cell_length_b 4.908
_cell_length_c 5.079
_cell_angle_alpha 90.00
_cell_angle_beta 90.00
_cell_angle_gamma 90.00
loop_
_atom_site_label
_atom_site_type_symbol
_atom_site_fract_x
_atom_site_fract_y
_atom_site_fract_z
_atom_site_occupancy
Fe1 Fe 0.000 0.500 0.000 1
Sn1 Sn 0.000 0.000 0.500 1
Bi1 Bi 0.500 0.500 0.000 1
Pt1 Pt 0.500 0.500 0.500 1
```

Summary:
ΔH_f (0 K): 1.16 eV/atom
V: 24.5 Å³ per atom
spin magnetization: 1.052 μB/atom
DFT total energy: -5.007 eV/atom